A plane-wave DFT calculation with PBE was carried out for a relaxed LiGeAu6 crystal.

```
8
Lattice="-7.067 -1.347 -0.100 -4.088 -3.036 5.904 -4.284 1.614 2.847" Properties=species:S:1:pos:R:3 pbc="T T T"
Au -5.753 -0.982 2.261
Au -3.171 -1.477 3.797
Li -7.720 -1.385 4.325
Au -3.157 -0.173 1.183
Au -9.686 -1.788 6.389
Ge 0.000 0.000 0.000
Au -12.283 -2.597 7.467
Au -12.269 -1.293 4.853
```

Output
polymorph energy (0 for the lowest one) = 0.042 eV/atom
total DFT energy (no corrections) = -3.373 eV/atom

=====

A plane-wave DFT calculation with PBE was carried out for a relaxed Na2TiBiS4 crystal.

```
16
Lattice="6.390 0.000 0.000 0.000 7.583 0.000 0.000 0.000 9.144" Properties=species:S:1:pos:R:3 pbc="T T T"
S 5.673 6.560 0.000
Na 6.235 5.026 6.947
Bi 2.800 6.388 0.000
Na 3.039 2.557 2.375
Ti 0.080 1.144 0.000
Bi 5.995 1.196 4.572
S 5.604 6.245 4.572
S 5.858 2.260 7.234
S 2.663 5.323 2.662
Ti 3.275 6.440 4.572
Na 3.039 2.557 6.769
S 2.477 1.023 4.572
Na 6.235 5.026 2.197
S 2.409 1.338 0.000
S 5.858 2.260 1.910
S 2.663 5.323 6.482
```

Output
energy relative to the elements, uncorrected = -0.920 eV per atom
total DFT energy (no corrections) = -4.786 eV/atom

=====

A plane-wave DFT calculation with PBE was carried out for a relaxed Yb3Ho crystal.

```
8
Lattice="3.615 -6.261 0.000 3.615 6.261 0.000 0.000 0.000 5.904" Properties=species:S:1:pos:R:3 pbc="T T T"
Yb 3.615 -4.142 4.428
Yb 1.835 1.060 1.476
Yb 3.615 4.142 1.476
Yb 5.395 1.060 1.476
Yb 5.395 -1.060 4.428
Ho 3.615 2.087 4.428
Ho 3.615 -2.087 1.476
Yb 1.835 -1.060 4.428
```

Output
total DFT energy (no corrections) = -2.353 eV/atom

=====

Look up the total DFT energy (no corrections) of the third one. -2.353 eV/atom